1.
Li4Mn3Nb2Cr3O16 at its PBEsol-relaxed geometry, computed with meta-GGA SCAN.

POSCAR file:
```
Li4Mn3Nb2Cr3O16
1.0
5.116 -2.905 0.000
5.116 2.905 0.000
-0.386 0.000 9.596
Li Mn Nb Cr O
4 3 2 3 16
direct
0.000 0.000 0.000
0.008 0.008 0.501
0.344 0.344 0.588
0.670 0.670 0.092
0.172 0.172 0.279
0.342 0.834 0.777
0.834 0.342 0.777
0.336 0.336 0.004
0.682 0.682 0.500
0.172 0.666 0.277
0.666 0.172 0.277
0.834 0.834 0.777
0.000 0.000 0.688
0.006 0.006 0.186
0.036 0.489 0.152
0.154 0.663 0.900
0.162 0.162 0.899
0.336 0.336 0.379
0.336 0.833 0.400
0.484 0.484 0.156
0.489 0.036 0.152
0.527 0.527 0.653
0.532 0.977 0.646
0.663 0.154 0.900
0.672 0.672 0.877
0.833 0.336 0.400
0.843 0.843 0.390
0.977 0.532 0.646
```

The formation energy from raw total energies is -2.49 eV per atom. Its magnetization is 21.0 μB per cell. As for the symmetry: Cm (8). The value obtained for the total energy is -355.17 eV for the cell shown.


2.
Eu2As3Pt at its PBEsol-relaxed geometry, computed with meta-GGA SCAN.

POSCAR file:
```
Eu2As3Pt
1.0
4.346 0.000 0.000
-2.173 3.764 0.000
0.000 0.000 8.017
Eu As Pt
2 3 1
direct
0.000 0.000 0.243
0.000 0.000 0.757
0.333 0.667 0.000
0.333 0.667 0.500
0.667 0.333 0.500
0.667 0.333 0.000
```

Its magnetization is 13.5 μB per cell. The energy relative to the elements is -1.05 eV per atom. As for the symmetry: P-6m2 (187). The value obtained for the total energy is -244.50 eV for the cell shown.


3.
Cd2FeTc at its PBEsol-relaxed geometry, computed with meta-GGA SCAN.

POSCAR file:
```
Cd2FeTc
1.0
3.875 0.000 0.000
0.000 3.875 0.000
0.000 0.000 4.214
Cd Fe Tc
2 1 1
direct
0.000 0.500 0.000
0.500 0.000 0.000
0.000 0.000 0.500
0.500 0.500 0.500
```

Its magnetization is 3.8 μB per cell. The energy relative to the elements is 0.36 eV per atom. As for the symmetry: P4/mmm (123). The value obtained for the total energy is -112.57 eV for the cell shown.


4.
LiLaMg at its PBEsol-relaxed geometry, computed with meta-GGA SCAN.

POSCAR file:
```
LiLaMg
1.0
-1.658 1.658 6.928
1.658 -1.658 6.928
1.658 1.658 -6.928
Li La Mg
1 1 1
direct
0.000 0.000 0.000
0.316 0.316 0.000
0.632 0.632 0.000
```

Its magnetization is 0.1 μB per cell. The energy relative to the elements is 0.01 eV per atom. As for the symmetry: I4mm (107). The value obtained for the total energy is -50.43 eV for the cell shown.


5.
BaBeW2 at its PBEsol-relaxed geometry, computed with meta-GGA SCAN.

POSCAR file:
```
BaBeW2
1.0
3.362 0.000 0.000
0.000 4.176 0.000
-1.461 0.000 6.350
Ba Be W
1 1 2
direct
0.000 0.000 0.000
0.500 0.000 0.500
0.308 0.500 0.636
0.692 0.500 0.364
```

Its magnetization is 0.0 μB per cell. The energy relative to the elements is 1.05 eV per atom. As for the symmetry: P2/m (10). The value obtained for the total energy is -179.08 eV for the cell shown.


6.
NpN2 at its PBEsol-relaxed geometry, computed with meta-GGA SCAN.

POSCAR file:
```
NpN2
1.0
0.000 2.580 2.580
2.580 0.000 2.580
2.580 2.580 0.000
Np N
1 2
direct
0.000 0.000 0.000
0.250 0.250 0.250
0.750 0.750 0.750
```

The formation energy from raw total energies is -1.03 eV per atom. Its magnetization is 1.0 μB per cell. As for the symmetry: Fm-3m (225). The value obtained for the total energy is -128.68 eV for the cell shown.


7.
KGdMo2O8 at its PBEsol-relaxed geometry, computed with meta-GGA SCAN.

POSCAR file:
```
KGdMo2O8
1.0
5.311 -5.153 0.000
5.311 5.153 0.000
-5.075 0.000 5.785
K Gd Mo O
2 2 4 16
direct
0.197 0.803 0.750
0.803 0.197 0.250
0.230 0.770 0.250
0.770 0.230 0.750
0.302 0.308 0.758
0.308 0.302 0.258
0.692 0.698 0.742
0.698 0.692 0.242
0.051 0.202 0.691
0.075 0.389 0.126
0.202 0.051 0.191
0.228 0.390 0.560
0.367 0.582 0.027
0.389 0.075 0.626
0.390 0.228 0.060
0.418 0.633 0.473
0.582 0.367 0.527
0.610 0.772 0.940
0.611 0.925 0.374
0.633 0.418 0.973
0.772 0.610 0.440
0.798 0.949 0.809
0.925 0.611 0.874
0.949 0.798 0.309
```

The formation energy from raw total energies is -2.62 eV per atom. Its magnetization is 13.9 μB per cell. As for the symmetry: C2/c (15). The value obtained for the total energy is -436.31 eV for the cell shown.


8.
As2BrCl at its PBEsol-relaxed geometry, computed with meta-GGA SCAN.

POSCAR file:
```
As2BrCl
1.0
-1.611 2.818 4.473
1.611 -2.818 4.473
1.611 2.818 -4.473
As Br Cl
2 1 1
direct
0.248 0.248 0.000
0.752 0.752 0.000
0.500 0.000 0.500
0.000 0.500 0.500
```

The formation energy from raw total energies is 0.36 eV per atom. Its magnetization is 0.0 μB per cell. As for the symmetry: Immm (71). The value obtained for the total energy is -66.40 eV for the cell shown.